P.
Entry from Alexandria via LeMat-Bulk: a crystal of SiAsSe2 relaxed with PBEsol (SCAN).

Geometry as POSCAR:
```
SiAsSe2
1.0
-1.356 0.526 3.333
-0.972 -3.501 0.157
7.036 -0.025 0.883
As Si Se
1 1 2
direct
0.250 0.750 0.500
0.500 0.500 0.000
0.000 0.000 0.000
0.750 0.250 0.500
```

Properties
Space-group type = I-4m2, No. 119
Spin magnetization = 0.00 μB/cell
Mass density = 4.96 Mg/m³

Q.
Entry from Alexandria via LeMat-Bulk: a crystal of SiAsSe2 relaxed with PBEsol (SCAN).

Geometry as POSCAR:
```
SiAsSe2
1.0
3.642 0.000 0.000
0.000 3.687 0.000
0.000 0.000 6.348
As Si Se
1 1 2
direct
0.000 0.500 0.500
0.500 0.500 0.000
0.000 0.000 0.000
0.500 0.000 0.500
```

Properties
Space-group type = Pmmm, No. 47
Spin magnetization = 0.00 μB/cell
Mass density = 5.08 Mg/m³

R.
Entry from Alexandria via LeMat-Bulk: a crystal of SiAsSe2 relaxed with PBEsol (SCAN).

Geometry as POSCAR:
```
SiAsSe2
1.0
3.308 0.000 0.000
0.000 3.308 0.000
0.000 0.000 7.885
As Si Se
1 1 2
direct
0.500 0.500 0.789
0.000 0.000 0.458
0.000 0.000 0.937
0.500 0.500 0.315
```

Properties
Space-group type = P4mm, No. 99
Spin magnetization = 0.00 μB/cell
Mass density = 5.02 Mg/m³

Most stable to least stable, the ends of the list are R and Q.

P.
Entry from Alexandria via LeMat-Bulk: a crystal of Sm2AsSe relaxed with PBEsol (SCAN).

Geometry as POSCAR:
```
Sm2AsSe
1.0
4.133 0.000 0.000
0.000 4.133 0.000
0.000 0.000 5.830
As Sm Se
1 2 1
direct
0.000 0.000 0.000
0.000 0.000 0.500
0.500 0.500 0.000
0.500 0.500 0.500
```

Properties
Space-group type = P4/mmm, No. 123
Spin magnetization = 0.00 μB/cell
Mass density = 7.58 Mg/m³

Q.
Entry from Alexandria via LeMat-Bulk: a crystal of Sm2AsSe relaxed with PBEsol (SCAN).

Geometry as POSCAR:
```
Sm2AsSe
1.0
-4.921 4.427 -2.780
-6.930 1.027 -1.570
-5.899 3.912 1.199
As Sm Se
1 2 1
direct
0.000 0.000 0.000
0.253 0.253 0.253
0.747 0.747 0.747
0.500 0.500 0.500
```

Properties
Space-group type = R-3m, No. 166
Spin magnetization = 0.00 μB/cell
Mass density = 7.55 Mg/m³

Most stable to least stable, the ends of the list are Q and P.

P.
Entry from Alexandria via LeMat-Bulk: a crystal of TaTeAsSe2 relaxed with PBEsol (SCAN).

Geometry as POSCAR:
```
TaTeAsSe2
1.0
5.141 0.000 0.000
0.000 5.094 0.000
0.000 0.000 5.094
As Te Se Ta
1 1 2 1
direct
0.500 0.000 0.000
0.000 0.000 0.000
0.000 0.000 0.500
0.000 0.500 0.000
0.500 0.500 0.500
```

Properties
Space-group type = P4/mmm, No. 123
Spin magnetization = 1.87 μB/cell
Mass density = 6.74 Mg/m³

Q.
Entry from Alexandria via LeMat-Bulk: a crystal of TaTeAsSe2 relaxed with PBEsol (SCAN).

Geometry as POSCAR:
```
TaTeAsSe2
1.0
4.865 0.000 0.000
0.000 4.865 0.000
0.000 0.000 5.204
As Te Se Ta
1 1 2 1
direct
0.000 0.000 0.500
0.500 0.500 0.500
0.000 0.500 0.000
0.500 0.000 0.000
0.000 0.000 0.000
```

Properties
Space-group type = P4/mmm, No. 123
Spin magnetization = 0.00 μB/cell
Mass density = 7.30 Mg/m³

Most stable to least stable, the ends of the list are Q and P.